# NbZn2HgP, optimized geometry, DFT PBE-GGA
data_NbZn2HgP
_chemical_formula_sum 'Nb1 Zn2 Hg1 P1'
_cell_length_a 4.5342
_cell_length_b 4.5342
_cell_length_c 5.1132
_cell_angle_alpha 90.00
_cell_angle_beta 90.00
_cell_angle_gamma 90.00
_symmetry_space_group_name_H-M 'P 4/m m m'
_symmetry_Int_Tables_number 123
_symmetry_space_group_name_Hall '-P 4 2'
loop_
_atom_site_label
_atom_site_fract_x
_atom_site_fract_y
_atom_site_fract_z
_atom_site_occupancy
Nb1 0.0000 0.0000 0.0000 1
Zn1 0.0000 0.5000 0.5000 1
Hg1 0.5000 0.5000 0.0000 1
P1 0.5000 0.5000 0.5000 1
# total magnetization = 2.43 μB/cell
# DFT total energy = -2.750 eV/atom
# ΔE_f = 0.92 eV/atom

# CoAsI2N, optimized geometry, DFT PBE-GGA
data_CoAsI2N
_chemical_formula_sum 'Co1 As1 I2 N1'
_cell_length_a 5.4259
_cell_length_b 5.4259
_cell_length_c 3.4977
_cell_angle_alpha 90.00
_cell_angle_beta 90.00
_cell_angle_gamma 90.00
_symmetry_space_group_name_H-M 'P 4/m m m'
_symmetry_Int_Tables_number 123
_symmetry_space_group_name_Hall '-P 4 2'
loop_
_atom_site_label
_atom_site_fract_x
_atom_site_fract_y
_atom_site_fract_z
_atom_site_occupancy
Co1 0.0000 0.0000 0.0000 1
As1 0.5000 0.5000 0.5000 1
I1 0.0000 0.5000 0.0000 1
N1 0.0000 0.0000 0.5000 1
# total magnetization = 0.00 μB/cell
# DFT total energy = -3.990 eV/atom
# ΔE to the lowest computed polymorph = 0.000 eV/f.u.
# formation energy without anion corrections = 0.65 eV per atom

# PuTiV, optimized geometry, DFT PBE-GGA
data_PuTiV
_chemical_formula_sum 'Pu2 Ti2 V2'
_cell_length_a 2.5283
_cell_length_b 4.5294
_cell_length_c 8.6413
_cell_angle_alpha 90.00
_cell_angle_beta 90.00
_cell_angle_gamma 90.00
_symmetry_space_group_name_H-M 'P m m n'
_symmetry_Int_Tables_number 59
loop_
_symmetry_equiv_pos_as_xyz
'x,y,z'
'-x,-y,-z'
'-x+1/2,-y+1/2,z'
'x+1/2,y+1/2,-z'
'x+1/2,-y,-z'
'-x+1/2,y,z'
'-x,y+1/2,-z'
'x,-y+1/2,z'
loop_
_atom_site_label
_atom_site_fract_x
_atom_site_fract_y
_atom_site_fract_z
_atom_site_occupancy
Pu1 0.2500 0.2500 0.0487 1
Ti1 0.2500 0.7500 0.2829 1
V1 0.2500 0.2500 0.4383 1
# total magnetization = 0.00 μB/cell
# DFT total energy = -9.999 eV/atom
# ΔE_f = 0.45 eV/atom

# Th3HSe5, optimized geometry, DFT PBE-GGA
data_Th3HSe5
_chemical_formula_sum 'Th12 H4 Se20'
_cell_length_a 12.3220
_cell_length_b 9.5696
_cell_length_c 9.4683
_cell_angle_alpha 90.00
_cell_angle_beta 105.56
_cell_angle_gamma 90.00
_symmetry_space_group_name_H-M 'C 1 2/m 1'
_symmetry_Int_Tables_number 12
loop_
_symmetry_equiv_pos_as_xyz
'x,y,z'
'-x,-y,-z'
'-x,y,-z'
'x,-y,z'
'x+1/2,y+1/2,z'
'-x+1/2,-y+1/2,-z'
'-x+1/2,y+1/2,-z'
'x+1/2,-y+1/2,z'
loop_
_atom_site_label
_atom_site_fract_x
_atom_site_fract_y
_atom_site_fract_z
_atom_site_occupancy
Th1 0.0000 0.0000 0.0000 1
Th2 0.0000 0.0000 0.5000 1
Th3 0.1672 0.5000 0.1520 1
Th4 0.2047 0.5000 0.5842 1
H1 0.0817 0.0000 0.2965 1
Se1 0.0000 0.2962 0.0000 1
Se2 0.0166 0.5000 0.3319 1
Se3 0.1883 0.1846 0.6257 1
Se4 0.2394 0.0000 0.0944 1
# total magnetization = 0.02 μB/cell
# DFT total energy = -6.100 eV/atom

# Ce2AlZn3Ni12, optimized geometry, DFT PBE-GGA
data_Ce2AlZn3Ni12
_chemical_formula_sum 'Ce6 Al3 Zn9 Ni36'
_cell_length_a 6.2747
_cell_length_b 6.2747
_cell_length_c 23.7156
_cell_angle_alpha 90.00
_cell_angle_beta 90.00
_cell_angle_gamma 120.00
_symmetry_space_group_name_H-M 'R -3 m'
_symmetry_Int_Tables_number 166
_symmetry_space_group_name_Hall '-R 3 2"'
loop_
_atom_site_label
_atom_site_fract_x
_atom_site_fract_y
_atom_site_fract_z
_atom_site_occupancy
Ce1 0.0000 0.0000 0.1395 1
Al1 0.0000 0.0000 0.5000 1
Zn1 0.0000 0.5000 0.0000 1
Ni1 0.0402 0.5201 0.8917 1
Ni2 0.0792 0.5396 0.6198 1
# total magnetization = 0.00 μB/cell
# DFT total energy = -4.917 eV/atom
# ΔE_f = 0.02 eV/atom

# Mg3Al2, optimized geometry, DFT PBE-GGA
data_Mg3Al2
_chemical_formula_sum 'Mg18 Al12'
_cell_length_a 5.3355
_cell_length_b 5.3355
_cell_length_c 27.0231
_cell_angle_alpha 90.00
_cell_angle_beta 90.00
_cell_angle_gamma 120.00
_symmetry_space_group_name_H-M 'R -3'
_symmetry_Int_Tables_number 148
_symmetry_space_group_name_Hall '-R 3'
loop_
_atom_site_label
_atom_site_fract_x
_atom_site_fract_y
_atom_site_fract_z
_atom_site_occupancy
Mg1 0.0005 0.3458 0.0763 1
Al1 0.0000 0.0000 0.0000 1
Al2 0.0000 0.0000 0.1672 1
Al3 0.0000 0.0000 0.5000 1
# total magnetization = 0.00 μB/cell
# DFT total energy = -2.299 eV/atom
# ΔE to the lowest computed polymorph = 0.364 eV/f.u.
# ΔE_f = 0.15 eV/atom

# YTm3Mg2, optimized geometry, DFT PBE-GGA
data_YTm3Mg2
_chemical_formula_sum 'Y1 Tm3 Mg2'
_cell_length_a 3.6092
_cell_length_b 3.6092
_cell_length_c 13.0157
_cell_angle_alpha 90.00
_cell_angle_beta 90.00
_cell_angle_gamma 90.00
_symmetry_space_group_name_H-M 'P 4/m m m'
_symmetry_Int_Tables_number 123
_symmetry_space_group_name_Hall '-P 4 2'
loop_
_atom_site_label
_atom_site_fract_x
_atom_site_fract_y
_atom_site_fract_z
_atom_site_occupancy
Y1 0.0000 0.0000 0.0000 1
Tm1 0.5000 0.5000 0.1884 1
Tm2 0.5000 0.5000 0.5000 1
Mg1 0.0000 0.0000 0.3468 1
# total magnetization = 0.00 μB/cell
# DFT total energy = -3.875 eV/atom
# ΔE_f = -0.03 eV/atom

# KH3Pd3, optimized geometry, DFT PBE-GGA
data_KH3Pd3
_chemical_formula_sum 'K2 H6 Pd6'
_cell_length_a 5.5574
_cell_length_b 5.5574
_cell_length_c 5.5574
_cell_angle_alpha 90.00
_cell_angle_beta 90.00
_cell_angle_gamma 90.00
_symmetry_space_group_name_H-M 'P m -3 n'
_symmetry_Int_Tables_number 223
_symmetry_space_group_name_Hall '-P 4n 2 3'
loop_
_atom_site_label
_atom_site_fract_x
_atom_site_fract_y
_atom_site_fract_z
_atom_site_occupancy
K1 0.0000 0.0000 0.0000 1
H1 0.0000 0.2500 0.5000 1
Pd1 0.0000 0.5000 0.2500 1
# total magnetization = 0.00 μB/cell
# DFT total energy = -3.832 eV/atom
# ΔE to the lowest computed polymorph = 0.805 eV/f.u.

no.,DOS at the Fermi energy (states/eV per cell)
1,3.64
2,3.63
3,11.91
4,16.23
5,29.14
6,10.89
7,7.52
8,3.70